[1]
The following is a PBE calculation of a relaxed structure of Hf2Ga2Ag, from Alexandria.

The calculation puts the density of states at the Fermi level at 0.91 states/eV per atom. The formation energy comes out at -0.099 eV per formula unit. The polymorph energy (0 for the lowest one) is 338 meV/atom.

The structure belongs to space group P4/mbm (No. 127); the cell edges are 8.1389, 8.1389 and 3.0299 Å and the angles 90.00°, 90.00° and 90.00°. Symmetry generates all atoms from Hf at (0.1318, 0.3682, 0.0000), Ga at (0.1692, 0.6692, 0.5000) and Ag at (0.0000, 0.0000, 0.0000).

---

[2]
The following is a PBE calculation of a relaxed structure of LiSmCu, from Alexandria.

The calculation puts the density of states at the Fermi level at 0.56 states/eV per atom. The formation energy comes out at 0.094 eV per formula unit. The polymorph energy (0 for the lowest one) is 119 meV/atom.

The structure belongs to space group C2/m (No. 12); the cell edges are 9.9269, 3.8570 and 7.3855 Å and the angles 90.00°, 101.58° and 90.00°. Symmetry generates all atoms from Li at (0.1362, 0.0000, 0.4441), Sm at (0.1215, 0.5000, 0.8310) and Cu at (0.1800, 0.5000, 0.2312).

---

[3]
The following is a PBE calculation of a relaxed structure of Ba3Ge4Pt, from Alexandria.

The calculation puts the density of states at the Fermi level at 0.54 states/eV per atom. The formation energy comes out at -4.523 eV per formula unit.

The structure belongs to space group Pmmn (No. 59, origin choice 2); the cell edges are 6.4505, 12.1475 and 6.0641 Å and the angles 90.00°, 90.00° and 90.00°. Symmetry generates all atoms from Ba at (0.2500, 0.0048, 0.1761), Ba at (0.2500, 0.2500, 0.5729), Ge at (0.0433, 0.7500, 0.9615), Ge at (0.2500, 0.6224, 0.6714) and Pt at (0.2500, 0.7500, 0.3347).

---

[4]
The following is a PBE calculation of a relaxed structure of Ba2HfPdSe5, from Alexandria.

The calculation puts the density of states at the Fermi level at 0.44 states/eV per atom. Its uncorrected formation energy is -1343 meV per atom.

The structure belongs to space group Cmc2_1 (No. 36); the cell edges are 4.0637, 18.7979 and 13.1867 Å and the angles 90.00°, 90.00° and 90.00°. Symmetry generates all atoms from Ba at (0.0000, 0.1202, 0.0000), Ba at (0.0000, 0.1266, 0.3635), Hf at (0.0000, 0.1882, 0.6900), Pd at (0.0000, 0.4338, 0.1127), Se at (0.0000, 0.0439, 0.7193), Se at (0.0000, 0.3022, 0.3288), Se at (0.0000, 0.3044, 0.0489), Se at (0.0000, 0.3309, 0.6811) and Se at (0.0000, 0.4941, 0.9412).